[1]
## Cd3SnPb (PBE)

Data for a relaxed Cd3SnPb crystal.

## Properties
crystal system = monoclinic

```
data_Cd3SnPb
_cell_length_a 5.8336
_cell_length_b 9.0718
_cell_length_c 10.2236
_cell_angle_alpha 76.50
_cell_angle_beta 90.00
_cell_angle_gamma 90.00
_symmetry_space_group_name_H-M 'P 1'
_symmetry_Int_Tables_number 1
_symmetry_space_group_name_Hall 'P 1'
loop_
_atom_site_label
_atom_site_type_symbol
_atom_site_fract_x
_atom_site_fract_y
_atom_site_fract_z
_atom_site_occupancy
Cd1 Cd 0.1504 0.2243 0.1353 1
Cd2 Cd 0.8985 0.3352 0.4927 1
Cd3 Cd 0.3985 0.6648 0.0073 1
Cd4 Cd 0.2168 0.0578 0.4214 1
Cd5 Cd 0.7168 0.9422 0.0786 1
Cd6 Cd 0.6504 0.7757 0.3647 1
Cd7 Cd 0.1015 0.6648 0.5073 1
Cd8 Cd 0.7832 0.9422 0.5786 1
Cd9 Cd 0.6015 0.3352 0.9927 1
Cd10 Cd 0.2832 0.0578 0.9214 1
Cd11 Cd 0.3496 0.2243 0.6353 1
Cd12 Cd 0.8496 0.7757 0.8647 1
Sn1 Sn 0.3057 0.8536 0.7070 1
Sn2 Sn 0.1943 0.8536 0.2070 1
Sn3 Sn 0.6943 0.1464 0.2930 1
Sn4 Sn 0.8057 0.1464 0.7930 1
Pb1 Pb 0.9008 0.5458 0.1574 1
Pb2 Pb 0.4008 0.4542 0.3426 1
Pb3 Pb 0.5992 0.5458 0.6574 1
Pb4 Pb 0.0992 0.4542 0.8426 1
```



[2]
## Th2ScPd (PBE)

Data for a relaxed Th2ScPd crystal.

## Properties
crystal system = orthorhombic

```
data_Th2ScPd
_cell_length_a 3.6148
_cell_length_b 6.0718
_cell_length_c 10.1765
_cell_angle_alpha 90.00
_cell_angle_beta 90.00
_cell_angle_gamma 107.33
_symmetry_space_group_name_H-M 'P 1'
_symmetry_Int_Tables_number 1
_symmetry_space_group_name_Hall 'P 1'
loop_
_atom_site_label
_atom_site_type_symbol
_atom_site_fract_x
_atom_site_fract_y
_atom_site_fract_z
_atom_site_occupancy
Pd1 Pd 0.7667 0.5337 0.7500 1
Pd2 Pd 0.2333 0.4663 0.2500 1
Th1 Th 0.3687 0.7372 0.9484 1
Th2 Th 0.3687 0.7372 0.5516 1
Th3 Th 0.6313 0.2628 0.0516 1
Th4 Th 0.6313 0.2628 0.4484 1
Sc1 Sc 0.0817 0.1638 0.7500 1
Sc2 Sc 0.9183 0.8362 0.2500 1
```



no.,formation enthalpy at 0 K (eV per atom),E above lowest polymorph (eV per atom)
1,0.05,0.000
2,-0.35,0.000